No. 1
Here is a relaxed MgB6N6 crystal from the Alexandria database. Energies are from PBE-GGA.

Summary:
VASP energy in eV/atom: -7.38
DOS(E_F) in states/eV per atom: 0.11

Cell: 4.5758 4.5758 4.5758 Å, 90.00 90.00 90.00°
Fractional positions:
Mg: 0.0000 0.0000 0.0000
B: 0.0000 0.2468 0.5000
B: 0.0000 0.7532 0.5000
B: 0.2468 0.5000 0.0000
B: 0.5000 0.0000 0.2468
B: 0.5000 0.0000 0.7532
B: 0.7532 0.5000 0.0000
N: 0.0000 0.5000 0.2524
N: 0.0000 0.5000 0.7476
N: 0.2524 0.0000 0.5000
N: 0.5000 0.2524 0.0000
N: 0.5000 0.7476 0.0000
N: 0.7476 0.0000 0.5000

No. 2
Here is a relaxed MgBN3 crystal from the Alexandria database. Energies are from PBE-GGA.

Summary:
VASP energy in eV/atom: -3.81
DOS(E_F) in states/eV per atom: 0.74

Cell: 4.0262 4.0262 4.0262 Å, 90.00 90.00 90.00°
Fractional positions:
Mg: 0.0000 0.0000 0.0000
B: 0.5000 0.5000 0.5000
N: 0.0000 0.0000 0.5000
N: 0.0000 0.5000 0.0000
N: 0.5000 0.0000 0.0000

No. 3
Here is a relaxed MgBN2 crystal from the Alexandria database. Energies are from PBE-GGA.

Summary:
VASP energy in eV/atom: -6.66
E above lowest polymorph in meV per atom: 61
DOS(E_F) in states/eV per atom: 0.55

Cell: 3.1976 3.1976 15.2215 Å, 90.00 90.00 120.00°
Fractional positions:
Mg: 0.0000 0.0000 0.0000
Mg: 0.3333 0.6667 0.6667
Mg: 0.6667 0.3333 0.3333
B: 0.0000 0.0000 0.5000
B: 0.3333 0.6667 0.1667
B: 0.6667 0.3333 0.8333
N: 0.0000 0.0000 0.4125
N: 0.0000 0.0000 0.5875
N: 0.3333 0.6667 0.0791
N: 0.3333 0.6667 0.2542
N: 0.6667 0.3333 0.7458
N: 0.6667 0.3333 0.9209

No. 4
Here is a relaxed Mg3BN3 crystal from the Alexandria database. Energies are from PBE-GGA.

Summary:
VASP energy in eV/atom: -6.06
E above lowest polymorph in meV per atom: 26
DOS(E_F) in states/eV per atom: 0.00

Cell: 6.0806 6.0806 4.5155 Å, 90.00 90.00 120.00°
Fractional positions:
Mg: 0.0794 0.3541 0.2500
Mg: 0.2747 0.9206 0.2500
Mg: 0.3541 0.2747 0.7500
Mg: 0.6459 0.7253 0.2500
Mg: 0.7253 0.0794 0.7500
Mg: 0.9206 0.6459 0.7500
B: 0.3333 0.6667 0.7500
B: 0.6667 0.3333 0.2500
N: 0.0990 0.4073 0.7500
N: 0.3083 0.9010 0.7500
N: 0.4073 0.3083 0.2500
N: 0.5927 0.6917 0.7500
N: 0.6917 0.0990 0.2500
N: 0.9010 0.5927 0.2500

No. 5
Here is a relaxed MgBN2 crystal from the Alexandria database. Energies are from PBE-GGA.

Summary:
VASP energy in eV/atom: -6.72
E above lowest polymorph in meV per atom: 0
DOS(E_F) in states/eV per atom: 0.22

Cell: 4.9874 6.1295 4.6921 Å, 90.00 90.00 90.00°
Fractional positions:
Mg: 0.0903 0.1188 0.0000
Mg: 0.4097 0.6188 0.5000
Mg: 0.5903 0.3812 0.0000
Mg: 0.9097 0.8812 0.5000
B: 0.0627 0.6242 0.0133
B: 0.4373 0.1242 0.5133
B: 0.5627 0.8758 0.0133
B: 0.9373 0.3758 0.5133
N: 0.0283 0.5790 0.3377
N: 0.1303 0.1697 0.4478
N: 0.3697 0.6697 0.9478
N: 0.4717 0.0790 0.8377
N: 0.5283 0.9210 0.3377
N: 0.6303 0.3303 0.4478
N: 0.8697 0.8303 0.9478
N: 0.9717 0.4210 0.8377

No. 6
Here is a relaxed MgBN2 crystal from the Alexandria database. Energies are from PBE-GGA.

Summary:
VASP energy in eV/atom: -4.78
E above lowest polymorph in meV per atom: 1942
DOS(E_F) in states/eV per atom: 0.52

Cell: 5.0634 5.0634 5.0634 Å, 90.00 90.00 90.00°
Fractional positions:
Mg: 0.0000 0.0000 0.0000
Mg: 0.0000 0.5000 0.5000
Mg: 0.5000 0.0000 0.5000
Mg: 0.5000 0.5000 0.0000
B: 0.0000 0.0000 0.5000
B: 0.0000 0.5000 0.0000
B: 0.5000 0.0000 0.0000
B: 0.5000 0.5000 0.5000
N: 0.2500 0.2500 0.2500
N: 0.2500 0.2500 0.7500
N: 0.2500 0.7500 0.2500
N: 0.2500 0.7500 0.7500
N: 0.7500 0.2500 0.2500
N: 0.7500 0.2500 0.7500
N: 0.7500 0.7500 0.2500
N: 0.7500 0.7500 0.7500

No. 7
Here is a relaxed MgBN3 crystal from the Alexandria database. Energies are from PBE-GGA.

Summary:
VASP energy in eV/atom: -5.61
DOS(E_F) in states/eV per atom: 0.78

Cell: 3.3865 3.3865 3.3865 Å, 90.00 90.00 90.00°
Fractional positions:
Mg: 0.0000 0.0000 0.0000
B: 0.5000 0.5000 0.5000
N: 0.0000 0.5000 0.5000
N: 0.5000 0.0000 0.5000
N: 0.5000 0.5000 0.0000

No. 8
Here is a relaxed Mg3BN3 crystal from the Alexandria database. Energies are from PBE-GGA.

Summary:
VASP energy in eV/atom: -6.08
E above lowest polymorph in meV per atom: 0

Cell: 3.5635 3.5635 16.1596 Å, 90.00 90.00 120.00°
Fractional positions:
Mg: 0.0000 0.0000 0.2500
Mg: 0.0000 0.0000 0.7500
Mg: 0.3333 0.6667 0.1225
Mg: 0.3333 0.6667 0.3775
Mg: 0.6667 0.3333 0.6225
Mg: 0.6667 0.3333 0.8775
B: 0.0000 0.0000 0.0000
B: 0.0000 0.0000 0.5000
N: 0.0000 0.0000 0.0834
N: 0.0000 0.0000 0.4166
N: 0.0000 0.0000 0.5834
N: 0.0000 0.0000 0.9166
N: 0.3333 0.6667 0.2500
N: 0.6667 0.3333 0.7500

| no. | formation energy from raw total energies (eV per atom) |
| --- | --- |
| 1 | -0.336 |
| 2 | 2.837 |
| 3 | -0.432 |
| 4 | -0.853 |
| 5 | -0.493 |
| 6 | 1.449 |
| 7 | 1.043 |
| 8 | -0.879 |